#one
{"formula": "Cu6SnGe", "functional": "GGA-PBE", "state": "optimized geometry", "spacegroup": "Amm2", "magmom_total_mub_per_fu": 0.00, "cell": [[3.784, 0.000, 0.000], [0.000, 6.422, -3.677], [0.000, -1.226, 5.305]], "species": ["Cu", "Cu", "Cu", "Cu", "Cu", "Cu", "Sn", "Ge"], "frac_coords": [[0.000, 0.889, 0.263], [0.000, 0.374, 0.263], [0.000, 0.359, 0.718], [0.500, 0.629, 0.730], [0.500, 0.101, 0.730], [0.500, 0.140, 0.280], [0.500, 0.596, 0.192], [0.000, 0.911, 0.823]]}



#two
{"formula": "Cu6SnGe", "functional": "GGA-PBE", "state": "optimized geometry", "spacegroup": "P-6m2", "magmom_total_mub_per_fu": 0.00, "cell": [[4.256, 0.000, 0.000], [0.000, 5.456, -0.177], [0.000, -2.575, 4.814]], "species": ["Cu", "Cu", "Cu", "Cu", "Cu", "Cu", "Sn", "Ge"], "frac_coords": [[0.000, 0.064, 0.407], [0.000, 0.593, 0.936], [0.000, 0.593, 0.407], [0.500, 0.421, 0.086], [0.500, 0.914, 0.579], [0.500, 0.914, 0.086], [0.500, 0.417, 0.583], [0.000, 0.083, 0.917]]}



Quick ranking, most stable first: #two, #one.



#one
{"formula": "CuSn3Ge", "functional": "GGA-PBE", "state": "optimized geometry", "spacegroup": "Pm-3m", "magmom_total_mub_per_fu": 0.00, "cell": [[-3.255, 2.833, 2.672], [-3.885, -2.607, -1.968], [0.274, -3.307, 3.840]], "species": ["Ge", "Sn", "Sn", "Sn", "Cu"], "frac_coords": [[0.500, 0.500, 0.500], [0.000, 0.500, 0.000], [0.000, 0.000, 0.500], [0.500, 0.000, 0.000], [0.000, 0.000, 0.000]]}



#two
{"formula": "CuSn3Ge", "functional": "GGA-PBE", "state": "optimized geometry", "spacegroup": "Pm-3m", "magmom_total_mub_per_fu": 0.00, "cell": [[5.313, 0.000, 0.000], [0.000, 5.313, 0.000], [0.000, 0.000, 5.313]], "species": ["Ge", "Sn", "Sn", "Sn", "Cu"], "frac_coords": [[0.000, 0.000, 0.000], [0.000, 0.500, 0.000], [0.000, 0.000, 0.500], [0.500, 0.000, 0.000], [0.500, 0.500, 0.500]]}



Quick ranking, most stable first: #one, #two.



#one
{"formula": "SrCu3Ge3", "functional": "GGA-PBE", "state": "optimized geometry", "spacegroup": "R-3", "magmom_total_mub_per_fu": 0.00, "cell": [[6.716, 0.000, 0.000], [3.358, 5.816, 0.000], [3.358, 1.939, 7.291]], "species": ["Sr", "Sr", "Cu", "Cu", "Cu", "Cu", "Cu", "Cu", "Ge", "Ge", "Ge", "Ge", "Ge", "Ge"], "frac_coords": [[0.326, 0.326, 0.023], [0.674, 0.674, 0.977], [0.485, 0.660, 0.643], [0.660, 0.212, 0.643], [0.212, 0.485, 0.643], [0.788, 0.515, 0.357], [0.340, 0.788, 0.357], [0.515, 0.340, 0.357], [0.100, 0.616, 0.327], [0.957, 0.100, 0.327], [0.616, 0.957, 0.327], [0.384, 0.043, 0.673], [0.043, 0.900, 0.673], [0.900, 0.384, 0.673]]}



#two
{"formula": "SrCu3Ge3", "functional": "GGA-PBE", "state": "optimized geometry", "spacegroup": "Pm-3n", "magmom_total_mub_per_fu": 0.00, "cell": [[6.715, 0.000, 0.000], [0.000, 6.715, 0.000], [0.000, 0.000, 6.715]], "species": ["Sr", "Sr", "Ge", "Ge", "Ge", "Ge", "Ge", "Ge", "Cu", "Cu", "Cu", "Cu", "Cu", "Cu"], "frac_coords": [[0.500, 0.500, 0.500], [0.000, 0.000, 0.000], [0.000, 0.250, 0.500], [0.000, 0.750, 0.500], [0.500, 0.000, 0.750], [0.750, 0.500, 0.000], [0.500, 0.000, 0.250], [0.250, 0.500, 0.000], [0.250, 0.000, 0.500], [0.000, 0.500, 0.250], [0.500, 0.750, 0.000], [0.750, 0.000, 0.500], [0.000, 0.500, 0.750], [0.500, 0.250, 0.000]]}



Quick ranking, most stable first: #one, #two.